1.
Computed, not measured: a geometry-optimized Be2AgSe structure at the PBE level of DFT.

Calculated values
**Space-group type**: P4/mmm

a = 3.2058 Å, b = 3.2058 Å, c = 5.4776 Å
α = 90.00°, β = 90.00°, γ = 90.00°
Fractional coordinates of all 4 atoms:
Be: 0.0000 0.0000 0.0060
Se: 0.5000 0.5000 0.2500
Be: 0.0000 0.0000 0.4940
Ag: 0.5000 0.5000 0.7500

***

2.
Computed, not measured: a geometry-optimized BeAg2Se structure at the PBE level of DFT.

Calculated values
**Space-group type**: P4/mmm

a = 2.8290 Å, b = 2.8290 Å, c = 8.4476 Å
α = 90.00°, β = 90.00°, γ = 90.00°
Fractional coordinates of all 4 atoms:
Se: 0.5000 0.5000 0.7500
Ag: 0.0000 0.0000 0.4397
Ag: 0.0000 0.0000 0.0603
Be: 0.5000 0.5000 0.2500

***

3.
Computed, not measured: a geometry-optimized Be4AgSe structure at the PBE level of DFT.

Calculated values
**Space-group type**: F-43m

a = 4.6761 Å, b = 4.6761 Å, c = 4.6761 Å
α = 60.00°, β = 60.00°, γ = 60.00°
Fractional coordinates of all 6 atoms:
Be: 0.3746 0.8763 0.3746
Be: 0.3746 0.3746 0.3746
Be: 0.8763 0.3746 0.3746
Se: 0.7500 0.7500 0.7500
Be: 0.3746 0.3746 0.8763
Ag: 0.0000 0.0000 0.0000

***

4.
Computed, not measured: a geometry-optimized BeAg2Se structure at the PBE level of DFT.

Calculated values
**Space-group type**: Pm

a = 3.4323 Å, b = 3.7773 Å, c = 5.7679 Å
α = 78.73°, β = 90.00°, γ = 90.00°
Fractional coordinates of all 4 atoms:
Ag: 0.0000 0.8580 0.0449
Se: 0.5000 0.6198 0.6926
Be: 0.0000 0.7508 0.4666
Ag: 0.5000 0.2714 0.2960

***

5.
Computed, not measured: a geometry-optimized BeAg2Se structure at the PBE level of DFT.

Calculated values
**Space-group type**: R-3m

a = 9.0825 Å, b = 9.0825 Å, c = 9.0825 Å
α = 18.64°, β = 18.64°, γ = 18.64°
Last column: magnetic moment on the atom in μB.
Fractional coordinates of all 4 atoms:
Ag: 0.5148 0.5148 0.5148  0.00
Ag: 0.9852 0.9852 0.9852  0.00
Be: 0.2500 0.2500 0.2500  0.00
Se: 0.7500 0.7500 0.7500  0.12

***

6.
Computed, not measured: a geometry-optimized BeAg2Se2 structure at the PBE level of DFT.

Calculated values
**Space-group type**: I4/mmm

a = 3.7593 Å, b = 3.7593 Å, c = 7.6718 Å
α = 75.82°, β = 75.82°, γ = 90.00°
Fractional coordinates of all 5 atoms:
Se: 0.3982 0.3982 0.2037
Ag: 0.2500 0.7500 0.5000
Be: 0.0000 0.0000 0.0000
Se: 0.6018 0.6018 0.7963
Ag: 0.7500 0.2500 0.5000

***

7.
Computed, not measured: a geometry-optimized Be2AgSe structure at the PBE level of DFT.

Calculated values
**Space-group type**: Imm2

a = 6.0692 Å, b = 6.0692 Å, c = 6.0692 Å
α = 149.22°, β = 148.90°, γ = 44.33°
Fractional coordinates of all 4 atoms:
Be: 0.9796 0.9796 0.0000
Ag: 0.2942 0.7942 0.5000
Se: 0.5319 0.5319 0.0000
Be: 0.6943 0.1943 0.5000

***

8.
Computed, not measured: a geometry-optimized BeAg2Se structure at the PBE level of DFT.

Calculated values
**Space-group type**: I-4m2

a = 5.0710 Å, b = 5.0710 Å, c = 5.0710 Å
α = 133.48°, β = 133.48°, γ = 67.91°
Fractional coordinates of all 4 atoms:
Ag: 0.0000 0.0000 0.0000
Se: 0.7500 0.2500 0.5000
Ag: 0.2500 0.7500 0.5000
Be: 0.5000 0.5000 0.0000

***

9.
Computed, not measured: a geometry-optimized Be2AgSe structure at the PBE level of DFT.

Calculated values
**Space-group type**: Cm

a = 4.1147 Å, b = 4.1147 Å, c = 5.7372 Å
α = 102.17°, β = 102.17°, γ = 49.27°
Fractional coordinates of all 4 atoms:
Be: 0.0098 0.0098 0.8780
Se: 0.4482 0.4482 0.6202
Be: 0.7097 0.7097 0.8665
Ag: 0.3322 0.3322 0.1353

***

10.
Computed, not measured: a geometry-optimized BeAg2Se structure at the PBE level of DFT.

Calculated values
**Space-group type**: P4mm

a = 3.2611 Å, b = 3.2611 Å, c = 6.7582 Å
α = 90.00°, β = 90.00°, γ = 90.00°
Fractional coordinates of all 4 atoms:
Ag: 0.5000 0.5000 0.2589
Se: 0.5000 0.5000 0.6541
Ag: 0.0000 0.0000 0.0078
Be: 0.0000 0.0000 0.5792

***

11.
Computed, not measured: a geometry-optimized Be2AgSe structure at the PBE level of DFT.

Calculated values
**Space-group type**: Pmmm

a = 3.3260 Å, b = 5.9618 Å, c = 3.3263 Å
α = 90.00°, β = 90.00°, γ = 90.00°
Fractional coordinates of all 4 atoms:
Se: 0.5000 0.0000 0.5000
Be: 0.0000 0.0000 0.0000
Be: 0.5000 0.5000 0.0000
Ag: 0.0000 0.5000 0.5000

***

12.
Computed, not measured: a geometry-optimized Be2AgSe structure at the PBE level of DFT.

Calculated values
**Space-group type**: C2/m

a = 3.3253 Å, b = 3.3253 Å, c = 6.4925 Å
α = 75.28°, β = 75.28°, γ = 59.86°
Fractional coordinates of all 4 atoms:
Ag: 0.2500 0.2500 0.2500
Be: 0.4916 0.4916 0.5269
Be: 0.0084 0.0084 0.9731
Se: 0.7500 0.7500 0.7500

***

13.
Computed, not measured: a geometry-optimized BeAg3Se structure at the PBE level of DFT.

Calculated values
**Space-group type**: Pm-3m

a = 5.0770 Å, b = 5.0770 Å, c = 5.0770 Å
α = 90.00°, β = 90.00°, γ = 90.00°
Fractional coordinates of all 5 atoms:
Ag: 0.5000 0.0000 0.0000
Se: 0.0000 0.0000 0.0000
Be: 0.5000 0.5000 0.5000
Ag: 0.0000 0.0000 0.5000
Ag: 0.0000 0.5000 0.0000

***

14.
Computed, not measured: a geometry-optimized Be2AgSe structure at the PBE level of DFT.

Calculated values
**Space-group type**: Pmmm

a = 3.2301 Å, b = 3.6649 Å, c = 5.3125 Å
α = 89.97°, β = 90.00°, γ = 90.00°
Fractional coordinates of all 4 atoms:
Be: 0.0000 0.2497 0.9527
Se: 0.5000 0.2500 0.2500
Be: 0.0000 0.2503 0.5473
Ag: 0.5000 0.7500 0.7500

***

15.
Computed, not measured: a geometry-optimized Be2AgSe structure at the PBE level of DFT.

Calculated values
**Space-group type**: F-43m

a = 4.4565 Å, b = 4.4565 Å, c = 4.4565 Å
α = 60.00°, β = 60.00°, γ = 60.00°
Fractional coordinates of all 4 atoms:
Se: 0.2500 0.2500 0.2500
Ag: 0.5000 0.5000 0.5000
Be: 0.0000 0.0000 0.0000
Be: 0.7500 0.7500 0.7500

***

16.
Computed, not measured: a geometry-optimized BeAg2Se structure at the PBE level of DFT.

Calculated values
**Space-group type**: P2/m

a = 3.9238 Å, b = 2.8999 Å, c = 6.4379 Å
α = 103.29°, β = 90.00°, γ = 90.00°
Fractional coordinates of all 4 atoms:
Se: 0.5000 0.7500 0.7500
Ag: 0.0000 0.6276 0.4429
Ag: 0.0000 0.8724 0.0571
Be: 0.5000 0.2500 0.2500

***

17.
Computed, not measured: a geometry-optimized BeAg2Se structure at the PBE level of DFT.

Calculated values
**Space-group type**: Cmm2

a = 3.1694 Å, b = 3.1694 Å, c = 7.8339 Å
α = 90.00°, β = 90.00°, γ = 113.51°
Fractional coordinates of all 4 atoms:
Ag: 0.0000 0.0000 0.0120
Be: 0.0000 0.0000 0.5186
Ag: 0.5000 0.5000 0.2914
Se: 0.5000 0.5000 0.6781

***

18.
Computed, not measured: a geometry-optimized Be2AgSe structure at the PBE level of DFT.

Calculated values
**Space-group type**: I-42d

a = 5.6754 Å, b = 5.6754 Å, c = 5.9606 Å
α = 61.57°, β = 61.57°, γ = 90.00°
Fractional coordinates of all 8 atoms:
Se: 0.5000 0.5000 0.0000
Be: 0.5960 0.1250 0.2500
Ag: 0.7500 0.2500 0.5000
Be: 0.8750 0.8460 0.7500
Se: 0.2500 0.7500 0.5000
Be: 0.3750 0.4040 0.7500
Be: 0.1540 0.6250 0.2500
Ag: 0.0000 0.0000 0.0000

***

19.
Computed, not measured: a geometry-optimized BeAg2Se2 structure at the PBE level of DFT.

Calculated values
**Space-group type**: P4/mbm

a = 6.7357 Å, b = 6.7357 Å, c = 4.3290 Å
α = 90.00°, β = 90.00°, γ = 90.00°
Fractional coordinates of all 10 atoms:
Ag: 0.1489 0.6489 0.5000
Be: 0.5000 0.5000 0.0000
Ag: 0.3511 0.1489 0.5000
Se: 0.3152 0.8152 0.0000
Se: 0.1848 0.3152 0.0000
Ag: 0.8511 0.3511 0.5000
Se: 0.8152 0.6848 0.0000
Ag: 0.6489 0.8511 0.5000
Be: 0.0000 0.0000 0.0000
Se: 0.6848 0.1848 0.0000

***

20.
Computed, not measured: a geometry-optimized BeAg2Se structure at the PBE level of DFT.

Calculated values
**Space-group type**: Immm

a = 6.8948 Å, b = 6.8948 Å, c = 6.8948 Å
α = 152.48°, β = 152.13°, γ = 39.57°
Fractional coordinates of all 4 atoms:
Ag: 0.5651 0.5651 0.0000
Be: 0.7500 0.2500 0.5000
Se: 0.2500 0.7500 0.5000
Ag: 0.9349 0.9349 0.0000

***

Electronic total energy per entry: -3.06 -3.01 -3.13 -3.24 -2.95 -2.82 -3.20 -2.90 -3.34 -3.07 -3.07 -3.21 -2.32 -3.30 -2.68 -2.98 -3.06 -3.23 -3.15 -3.11 eV per atom
E_form (uncorrected) per entry: 0.39 0.22 0.41 -0.01 0.28 0.46 0.24 0.32 0.11 0.16 0.38 0.23 0.84 0.14 0.77 0.25 0.17 0.22 0.13 0.12 eV/atom